[1]
Entry from Alexandria via LeMat-Bulk: a geometry-optimized GeMoPt3 structure (PBE).

Cell: 4.844 4.844 4.844 Å, 90.00 90.00 90.00°
Atoms (fractional coordinates):
Pt  0.500  0.000  0.000
Pt  0.000  0.000  0.500
Pt  0.000  0.500  0.000
Mo  0.000  0.000  0.000
Ge  0.500  0.500  0.500

Summary:
- Energy of formation from the pure elements: 1040.9 meV/atom

=====

[2]
Entry from Alexandria via LeMat-Bulk: a geometry-optimized Ge2MoPt structure (PBE).

Cell: 4.430 4.430 4.430 Å, 60.00 60.00 60.00°
Atoms (fractional coordinates):
Mo  0.000  0.000  0.000
Pt  0.500  0.500  0.500
Ge  0.750  0.750  0.750
Ge  0.250  0.250  0.250

Summary:
- Energy of formation from the pure elements: -51.1 meV/atom

=====

[3]
Entry from Alexandria via LeMat-Bulk: a geometry-optimized ReGeMo2Pt structure (PBE).

Cell: 4.562 4.422 4.562 Å, 90.00 90.00 90.00°
Atoms (fractional coordinates):
Mo  0.500  0.000  0.000
Mo  0.000  0.000  0.500
Ge  0.000  0.000  0.000
Re  0.500  0.500  0.500
Pt  0.000  0.500  0.000

Summary:
- Energy of formation from the pure elements: 1475.3 meV/atom

=====

[4]
Entry from Alexandria via LeMat-Bulk: a geometry-optimized GeMoPtS2 structure (PBE).

Cell: 4.642 5.165 4.642 Å, 90.00 90.00 90.00°
Atoms (fractional coordinates):
Mo  0.000  0.500  0.000
Pt  0.000  0.000  0.000
S  0.500  0.000  0.000
S  0.000  0.000  0.500
Ge  0.500  0.500  0.500

Summary:
- Energy relative to the elements, uncorrected: 1008 meV/atom

=====

[5]
Entry from Alexandria via LeMat-Bulk: a geometry-optimized GeSb2MoPt structure (PBE).

Cell: 5.369 4.613 5.369 Å, 90.00 90.00 90.00°
Atoms (fractional coordinates):
Pt  0.000  0.000  0.000
Mo  0.500  0.500  0.500
Ge  0.000  0.500  0.000
Sb  0.000  0.000  0.500
Sb  0.500  0.000  0.000

Summary:
- Energy relative to the elements, uncorrected: 884 meV/atom

=====

[6]
Entry from Alexandria via LeMat-Bulk: a geometry-optimized SrGe2MoPt structure (PBE).

Cell: 4.815 5.587 4.815 Å, 90.00 90.00 90.00°
Atoms (fractional coordinates):
Sr  0.000  0.500  0.000
Mo  0.000  0.000  0.000
Ge  0.500  0.000  0.000
Ge  0.000  0.000  0.500
Pt  0.500  0.500  0.500

Summary:
- Energy of formation from the pure elements: 638.6 meV/atom

=====

Number 1: density 11.02 g/cm3, final energy -28.37 eV per cell, total moment 0.00 μB per formula unit. Number 2: density 11.78 g/cm3, final energy -26.31 eV per cell, total moment 0.00 μB per formula unit. Number 3: density 11.65 g/cm3, final energy -37.39 eV per cell, total moment 0.00 μB per formula unit. Number 4: density 6.38 g/cm3, final energy -24.71 eV per cell, total moment 3.57 μB per formula unit. Number 5: density 7.58 g/cm3, final energy -25.31 eV per cell, total moment 3.26 μB per formula unit. Number 6: density 6.72 g/cm3, final energy -24.60 eV per cell, total moment 0.00 μB per formula unit.